Material: Ta3TcNi
Method: DFT, GGA-PBE
State: relaxed

Cell lengths 4.5413, 4.5413, 4.5413 Å; angles 90.00, 90.00, 90.00 degrees
Closest atoms and distances in Å follow each position.
Atoms (fractional coordinates):
Ta1 0.0000 0.0000 0.5000  2 Ni 2.27
Ta2 0.0000 0.5000 0.0000  2 Ni 2.27
Ta3 0.5000 0.0000 0.0000  2 Ni 2.27
Tc1 0.5000 0.5000 0.5000  12 Ta 3.21
Ni1 0.0000 0.0000 0.0000  6 Ta 2.27

Summary:
Energy relative to the elements: 5.1 eV per formula unit
Excess energy over the best structure of this formula in the dataset: 0.0 kJ/mol of atoms